# 1
Here is a relaxed In3AuS crystal from the Alexandria database. Energies are from PBE.

Geometry as extended XYZ:
```
5
Lattice="5.325 0.000 0.000 0.000 5.325 0.000 0.000 0.000 5.325" Properties=species:S:1:pos:R:3 pbc="T T T"
In 0.000 0.000 2.662
In 0.000 2.662 0.000
In 2.662 0.000 0.000
Au 2.662 2.662 2.662
S 0.000 0.000 0.000
```

## Properties
- spin magnetization (μB/cell) = 0.0
- volume (Å³/cell) = 151.0
- uncorrected energy (eV per atom) = -2.8080
- uncorrected formation energy (eV per atom) = 0.3160
- density of states at the Fermi level (states/eV per atom) = 0.414
- E above lowest polymorph (eV/atom) = 0.271

# 2
Here is a relaxed In4AuS2 crystal from the Alexandria database. Energies are from PBE.

Geometry as extended XYZ:
```
14
Lattice="7.197 0.000 0.000 0.000 13.356 0.000 0.000 0.000 4.042" Properties=species:S:1:pos:R:3 pbc="T T T"
In 1.280 1.436 0.000
In 1.745 11.169 2.021
In 1.853 4.491 2.021
In 2.319 8.114 0.000
In 4.878 5.242 0.000
In 5.344 8.865 2.021
In 5.452 2.187 2.021
In 5.917 11.920 0.000
Au 0.000 0.000 2.021
Au 3.599 6.678 2.021
S 0.022 3.959 0.000
S 3.577 10.637 0.000
S 3.620 2.719 0.000
S 7.175 9.397 0.000
```

## Properties
- spin magnetization (μB/cell) = 0.0
- volume (Å³/cell) = 388.5
- uncorrected energy (eV per atom) = -3.4827
- uncorrected formation energy (eV per atom) = -0.2704
- density of states at the Fermi level (states/eV per atom) = 0.236

# 3
Here is a relaxed In5AuS8 crystal from the Alexandria database. Energies are from PBE.

Geometry as extended XYZ:
```
14
Lattice="0.000 5.479 5.479 5.479 0.000 5.479 5.479 5.479 0.000" Properties=species:S:1:pos:R:3 pbc="T T T"
In 0.000 0.000 0.000
In 6.788 4.170 4.170
In 4.170 6.788 4.170
In 4.170 4.170 6.788
In 6.788 6.788 6.788
Au 2.739 2.739 2.739
S 4.181 4.181 4.181
S 6.777 6.777 4.181
S 6.777 4.181 6.777
S 9.488 6.949 6.949
S 4.181 6.777 6.777
S 6.949 9.488 6.949
S 6.949 6.949 9.488
S 9.488 9.488 9.488
```

## Properties
- spin magnetization (μB/cell) = 0.0
- volume (Å³/cell) = 328.9
- uncorrected energy (eV per atom) = -4.0536
- uncorrected formation energy (eV per atom) = -0.4829
- density of states at the Fermi level (states/eV per atom) = 0.318